# HfBiI2N, relaxed, DFT PBE
data_HfBiI2N
_chemical_formula_sum 'Hf1 Bi1 I2 N1'
_space_group_name_H-M_alt 'P 4/m m m'
_space_group_IT_number 123
_space_group_name_Hall '-P 4 2'
_cell_length_a 6.020
_cell_length_b 6.020
_cell_length_c 3.959
_cell_angle_alpha 90.00
_cell_angle_beta 90.00
_cell_angle_gamma 90.00
loop_
_atom_site_label
_atom_site_type_symbol
_atom_site_fract_x
_atom_site_fract_y
_atom_site_fract_z
_atom_site_occupancy
Hf1 Hf 0.000 0.000 0.000 1
Bi1 Bi 0.500 0.500 0.500 1
I1 I 0.000 0.500 0.000 1
N1 N 0.000 0.000 0.500 1
# Energy relative to the lowest polymorph listed for this composition in meV per atom: 0.0
# Spin magnetization in μB/f.u.: 0.0
# ΔE_f (raw) in eV/atom: -0.02